i) Here is SiTeHPdCl after structural relaxation from the Alexandria database. Energies are from PBE.

Output
Calculated volume in Å³ per atom: 26.51
Theoretical density in g/cm³: 3.74
Space-group type: Cm (8)

Cell: 7.6346 4.1160 8.9333 Å, 90.00 109.18 90.00°
Fractional positions:
Te 0.3768 0.5000 0.2398
Cl 0.7948 0.5000 0.0784
Pd 0.1828 0.0000 0.0578
Pd 0.1828 0.5000 0.5578
Si 0.0278 0.0000 0.5019
H 0.2499 0.0000 0.8824
Si 0.0278 0.5000 0.0019
H 0.2499 0.5000 0.3824
Te 0.3768 0.0000 0.7398
Cl 0.7948 0.0000 0.5784

ii) Here is SiTeHPdCl after structural relaxation from the Alexandria database. Energies are from PBE.

Output
Calculated volume in Å³ per atom: 21.60
Theoretical density in g/cm³: 4.59
Space-group type: Cm (8)

Cell: 9.1215 3.1299 8.0267 Å, 90.00 109.53 90.00°
Fractional positions:
Te 0.5708 0.5000 0.5838
Te 0.5708 0.0000 0.0838
H 0.9256 0.0000 0.3289
Cl 0.1682 0.5000 0.6693
Pd 0.7708 0.0000 0.4356
H 0.9256 0.5000 0.8289
Si 0.9325 0.0000 0.1356
Si 0.9325 0.5000 0.6356
Cl 0.1682 0.0000 0.1693
Pd 0.7708 0.5000 0.9356

iii) Here is SiTeHPdCl after structural relaxation from the Alexandria database. Energies are from PBE.

Output
Calculated volume in Å³ per atom: 20.81
Theoretical density in g/cm³: 4.76
Space-group type: Pmm2 (25)

Cell: 3.3796 3.2127 9.5844 Å, 90.00 90.00 90.00°
Fractional positions:
Te 0.0000 0.0000 0.4656
Si 0.5000 0.5000 0.0081
H 0.0000 0.0000 0.2805
Cl 0.5000 0.5000 0.7907
Pd 0.0000 0.0000 0.0873

Which is most stable, and by how much? ii), by 24 meV per atom.

i) Here is SiTeHPdCl after structural relaxation from the Alexandria database. Energies are from PBE.

Output
Calculated volume in Å³ per atom: 24.61
Theoretical density in g/cm³: 4.03
Space-group type: P1 (1)

Cell: 4.5962 4.7692 6.3983 Å, 79.27 82.97 63.34°
Fractional positions:
Cl 0.2185 0.5084 0.8191
Te 0.7690 0.2536 0.3556
Pd 0.1006 0.6282 0.3885
Si 0.8933 0.6429 0.0841
H 0.5950 0.9001 0.9849

ii) Here is SiTeHPdCl after structural relaxation from the Alexandria database. Energies are from PBE.

Output
Calculated volume in Å³ per atom: 24.17
Theoretical density in g/cm³: 4.10
Space-group type: P1 (1)

Cell: 3.6064 5.3493 6.7784 Å, 105.61 105.33 91.19°
Fractional positions:
H 0.8160 0.9988 0.4154
Te 0.3497 0.0651 0.3146
Cl 0.0402 0.6737 0.7400
Pd 0.7075 0.3660 0.1255
Si 0.1723 0.5954 0.0366

iii) Here is SiTeHPdCl after structural relaxation from the Alexandria database. Energies are from PBE.

Output
Calculated volume in Å³ per atom: 23.58
Theoretical density in g/cm³: 4.21
Space-group type: Cm (8)

Cell: 7.1153 4.1922 8.1212 Å, 90.00 103.25 90.00°
Fractional positions:
H 0.9630 0.5000 0.8536
Cl 0.1598 0.0000 0.0899
Pd 0.7278 0.5000 0.0815
Pd 0.7278 0.0000 0.5815
Cl 0.1598 0.5000 0.5899
Si 0.8972 0.5000 0.6653
Te 0.6200 0.5000 0.3699
H 0.9630 0.0000 0.3536
Si 0.8972 0.0000 0.1653
Te 0.6200 0.0000 0.8699

Which is most stable, and by how much? iii), by 52 meV per atom.

i) Here is Pm2HCl after structural relaxation from the Alexandria database. Energies are from PBE.

Output
Calculated volume in Å³ per atom: 20.80
Theoretical density in g/cm³: 6.52
Space-group type: R-3m (166)

Cell: 3.6641 3.6641 7.4620 Å, 75.79 75.79 60.00°
Fractional positions:
Pm 0.2677 0.2677 0.1968
H 0.0000 0.0000 0.0000
Cl 0.5000 0.5000 0.5000
Pm 0.7323 0.7323 0.8032

ii) Here is Pm2HCl after structural relaxation from the Alexandria database. Energies are from PBE.

Output
Calculated volume in Å³ per atom: 20.88
Theoretical density in g/cm³: 6.49
Space-group type: R3m (160)

Cell: 3.4963 3.4963 8.1419 Å, 77.60 77.60 60.00°
Fractional positions:
Pm 0.0967 0.0967 0.7099
H 0.4917 0.4917 0.5250
Cl 0.6706 0.6706 0.9881
Pm 0.2410 0.2410 0.2770

Which is most stable, and by how much? i), by 163 meV per atom.

i) Here is PmHCl4 after structural relaxation from the Alexandria database. Energies are from PBE.

Output
Calculated volume in Å³ per atom: 29.95
Theoretical density in g/cm³: 2.66
Space-group type: I4_1md (109)

Cell: 7.7927 7.7927 7.7927 Å, 62.89 74.21 105.79°
Fractional positions:
Cl 0.8353 0.8811 0.9543
Cl 0.3353 0.2957 0.3689
Cl 0.1647 0.2104 0.9543
Cl 0.7917 0.3237 0.4680
H 0.5000 0.3309 0.1691
Cl 0.6647 0.2957 0.0396
Pm 0.0000 0.7637 0.2363
Cl 0.2083 0.7403 0.4680
Cl 0.7083 0.7820 0.5097
Cl 0.2917 0.7820 0.9263
Pm 0.5000 0.0137 0.4863
H 0.0000 0.0809 0.9191

ii) Here is PmHCl4 after structural relaxation from the Alexandria database. Energies are from PBE.

Output
Calculated volume in Å³ per atom: 29.45
Theoretical density in g/cm³: 2.71
Space-group type: P2_1/m (11)

Cell: 5.4157 7.9666 8.4907 Å, 90.00 90.00 105.30°
Fractional positions:
H 0.0976 0.0668 0.7500
Cl 0.4440 0.3634 0.2500
H 0.9024 0.9332 0.2500
Cl 0.0649 0.7064 0.0582
Cl 0.0649 0.7064 0.4418
Pm 0.0350 0.5826 0.7500
Cl 0.9351 0.2936 0.5582
Cl 0.9351 0.2936 0.9418
Cl 0.5560 0.6366 0.7500
Cl 0.2818 0.9904 0.7500
Pm 0.9650 0.4174 0.2500
Cl 0.7182 0.0096 0.2500

Which is most stable, and by how much? ii), by 61 meV per atom.

i) Here is PrHCl4 after structural relaxation from the Alexandria database. Energies are from PBE.

Output
Calculated volume in Å³ per atom: 30.33
Theoretical density in g/cm³: 2.59
Space-group type: P2_1/m (11)

Cell: 5.4922 7.9867 8.6139 Å, 90.00 90.00 105.57°
Fractional positions:
Cl 0.4419 0.3563 0.2500
Cl 0.0652 0.7086 0.4410
Cl 0.2807 0.9950 0.7500
Cl 0.5581 0.6437 0.7500
Pr 0.0352 0.5852 0.7500
Cl 0.0652 0.7086 0.0590
Cl 0.7193 0.0050 0.2500
Cl 0.9348 0.2914 0.9410
Cl 0.9348 0.2914 0.5590
H 0.0967 0.0687 0.7500
Pr 0.9648 0.4148 0.2500
H 0.9033 0.9313 0.2500

ii) Here is PrHCl4 after structural relaxation from the Alexandria database. Energies are from PBE.

Output
Calculated volume in Å³ per atom: 27.87
Theoretical density in g/cm³: 2.82
Space-group type: Cc (9)

Cell: 7.2086 6.9120 9.7268 Å, 69.17 59.72 103.86°
Fractional positions:
Cl 0.9357 0.3647 0.4031
Cl 0.1871 0.8486 0.4271
Pr 0.0128 0.8384 0.2250
Cl 0.4864 0.3241 0.9824
H 0.9927 0.2030 0.5899
Pr 0.4872 0.0756 0.4878
Cl 0.8674 0.1623 0.1314
Cl 0.5643 0.6790 0.5888
Cl 0.0136 0.0877 0.7188
Cl 0.6326 0.5449 0.2487
Cl 0.3129 0.9115 0.8643
H 0.5073 0.4603 0.8326

Which is most stable, and by how much? ii), by 5 meV per atom.

i) Here is Pr2HCl after structural relaxation from the Alexandria database. Energies are from PBE.

Output
Calculated volume in Å³ per atom: 21.92
Theoretical density in g/cm³: 6.03
Space-group type: R3m (160)

Cell: 3.5558 3.5558 8.2660 Å, 77.58 77.58 60.00°
Fractional positions:
Pr 0.2409 0.2409 0.2772
Pr 0.0964 0.0964 0.7108
H 0.4924 0.4924 0.5228
Cl 0.6703 0.6703 0.9892

ii) Here is Pr2HCl after structural relaxation from the Alexandria database. Energies are from PBE.

Output
Calculated volume in Å³ per atom: 21.83
Theoretical density in g/cm³: 6.05
Space-group type: R-3m (166)

Cell: 3.7194 3.7194 7.5986 Å, 75.83 75.83 60.00°
Fractional positions:
Cl 0.5000 0.5000 0.5000
Pr 0.2668 0.2668 0.1996
H 0.0000 0.0000 0.0000
Pr 0.7332 0.7332 0.8004

Which is most stable, and by how much? ii), by 153 meV per atom.